First-principles (PBE-GGA) data for an optimized crystal structure of LiGa4Ir2, as listed in Alexandria via LeMat-Bulk.

Geometry as POSCAR:
```
LiGa4Ir2
1.0
4.305 0.000 0.000
0.000 4.305 0.000
2.153 2.153 6.463
Ir Ga Li
2 4 1
Direct
0.391 0.391 0.218
0.609 0.609 0.782
0.200 0.200 0.600
0.800 0.800 0.400
0.000 0.500 0.000
0.500 0.000 0.000
0.000 0.000 0.000
```

- ρ (Mg/m³) = 9.290
- formation energy (meV/atom) = 209
- polymorph energy (0 for the lowest one) (meV per atom) = 682


First-principles (PBE-GGA) data for an optimized crystal structure of Li5Ga4Ir2, as listed in Alexandria via LeMat-Bulk.

Geometry as POSCAR:
```
Li5Ga4Ir2
1.0
2.636 0.000 0.000
0.000 8.718 0.000
-1.318 -4.359 8.010
Li Ga Ir
5 4 2
Direct
0.173 0.428 0.345
0.827 0.572 0.655
0.173 0.917 0.345
0.500 0.000 0.000
0.827 0.083 0.655
0.589 0.589 0.179
0.000 0.271 0.000
0.411 0.411 0.821
0.000 0.729 0.000
0.745 0.745 0.489
0.255 0.255 0.511
```

- ρ (Mg/m³) = 6.298
- formation energy (meV/atom) = -71


First-principles (PBE-GGA) data for an optimized crystal structure of LiGa5Ir3, as listed in Alexandria via LeMat-Bulk.

Geometry as POSCAR:
```
LiGa5Ir3
1.0
-5.323 -1.673 -3.092
-3.078 -0.144 5.586
-7.702 6.670 0.817
Li Ga Ir
2 10 6
Direct
0.007 0.007 0.752
0.993 0.993 0.248
0.926 0.388 0.328
0.264 0.736 0.000
0.689 0.689 0.061
0.317 0.317 0.446
0.683 0.683 0.554
0.311 0.311 0.939
0.388 0.926 0.328
0.736 0.264 0.000
0.074 0.612 0.672
0.612 0.074 0.672
0.653 0.653 0.828
0.651 0.651 0.324
0.000 0.000 0.000
0.000 0.000 0.500
0.347 0.347 0.172
0.349 0.349 0.676
```

- ρ (Mg/m³) = 9.280
- formation energy (meV/atom) = -318


First-principles (PBE-GGA) data for an optimized crystal structure of LiGa3Ir, as listed in Alexandria via LeMat-Bulk.

Geometry as POSCAR:
```
LiGa3Ir
1.0
-3.290 -2.773 -1.784
-0.761 -1.688 4.028
-3.000 6.679 2.232
Li Ga Ir
2 6 2
Direct
0.437 0.344 0.992
0.588 0.844 0.622
0.591 0.344 0.425
0.800 0.344 0.804
0.996 0.844 0.414
0.030 0.344 0.201
0.434 0.844 0.190
0.226 0.844 0.811
0.841 0.844 0.014
0.184 0.344 0.601
```

- ρ (Mg/m³) = 9.173
- formation energy (meV/atom) = -370
- polymorph energy (0 for the lowest one) (meV per atom) = 0


First-principles (PBE-GGA) data for an optimized crystal structure of Li3Ga2Ir2, as listed in Alexandria via LeMat-Bulk.

Geometry as POSCAR:
```
Li3Ga2Ir2
1.0
-2.364 0.230 3.532
3.163 -2.837 -0.261
4.393 4.907 0.066
Li Ga Ir
3 2 2
Direct
0.000 0.000 0.000
0.710 0.855 0.565
0.290 0.145 0.435
0.435 0.717 0.152
0.565 0.283 0.848
0.149 0.575 0.724
0.851 0.425 0.276
```

- ρ (Mg/m³) = 9.426
- formation energy (meV/atom) = -422


First-principles (PBE-GGA) data for an optimized crystal structure of LiGaIr, as listed in Alexandria via LeMat-Bulk.

Geometry as POSCAR:
```
LiGaIr
1.0
5.031 0.052 0.046
1.755 5.720 -0.889
1.750 0.300 5.783
Li Ga Ir
4 4 4
Direct
0.333 0.667 0.917
0.667 0.833 0.583
0.667 0.333 0.083
0.333 0.167 0.417
0.005 0.499 0.749
0.005 0.999 0.249
0.995 0.501 0.251
0.995 0.001 0.751
0.682 0.330 0.580
0.682 0.830 0.080
0.318 0.670 0.420
0.318 0.170 0.920
```

- ρ (Mg/m³) = 10.712
- formation energy (meV/atom) = -429